(1)
Material: Tb3Sm2Sc2
Method: DFT, PBE
State: relaxed

Cell: 4.962 6.024 7.834 Å, 97.69 90.00 114.32°
Fractional coordinates of all 7 atoms:
Tb1 0.500 0.000 0.000
Tb2 0.644 0.288 0.430
Tb3 0.356 0.712 0.570
Sm1 0.928 0.855 0.277
Sm2 0.072 0.145 0.723
Sc1 0.784 0.569 0.860
Sc2 0.216 0.431 0.140

Calculated values
symmetry: C2/m, No. 12
DFT formation energy: 0.31 eV/f.u.
DOS at the Fermi energy: 10.18 states/eV/f.u.

(2)
Material: Tb2Pr7Y2
Method: DFT, PBE
State: relaxed

Cell: 8.342 6.993 6.993 Å, 85.69 78.47 78.47°
Fractional coordinates of all 11 atoms:
Tb1 0.818 0.427 0.427
Tb2 0.182 0.573 0.573
Pr1 0.177 0.096 0.498
Pr2 0.823 0.502 0.904
Pr3 0.823 0.904 0.502
Pr4 0.177 0.498 0.096
Pr5 0.000 0.000 0.000
Pr6 0.463 0.731 0.731
Pr7 0.537 0.269 0.269
Y1 0.500 0.216 0.784
Y2 0.500 0.784 0.216

Calculated values
symmetry: C2/m, No. 12
DFT formation energy: 1.67 eV/f.u.
DOS at the Fermi energy: 16.49 states/eV/f.u.

(3)
Material: InP2IrO
Method: DFT, PBE
State: relaxed

Cell: 5.016 5.016 3.819 Å, 90.00 90.00 90.00°
Fractional coordinates of all 5 atoms:
P1 0.000 0.500 0.000
P2 0.500 0.000 0.000
Ir1 0.500 0.500 0.500
O1 0.000 0.000 0.500
In1 0.000 0.000 0.000

Calculated values
symmetry: P4/mmm, No. 123
energy relative to the elements, uncorrected: 1212 meV/atom
DOS at the Fermi energy: 7.20 states/eV/f.u.

- Which of these has the highest DOS at the Fermi energy?
  Tb2Pr7Y2

- The lowest DOS at the Fermi energy belongs to which entry?
  InP2IrO

- Which value of DOS at the Fermi energy does entry 2 give?
  16.49 states/eV/f.u.